First-principles (GGA-PBE) data for an optimized crystal structure of Ac5Pr4Nd2, as listed in the Alexandria database. Values from VASP.

Geometry as Quantum ESPRESSO input:
```
&SYSTEM
  ibrav = 0, nat = 11, ntyp = 3
/
ATOMIC_SPECIES
Ac 227.00 Ac.upf
Nd 144.24 Nd.upf
Pr 140.91 Pr.upf
CELL_PARAMETERS angstrom
3.7754 0.0000 0.0000
0.0000 10.0145 0.0000
-1.8877 -5.0072 12.0806
ATOMIC_POSITIONS crystal
Ac 0.1493 0.9429 0.2986
Nd 0.2725 0.2725 0.5451
Pr 0.4076 0.4076 0.8152
Ac 0.8507 0.0571 0.7014
Ac 0.1493 0.3558 0.2986
Pr 0.0000 0.3044 0.0000
Pr 0.0000 0.6956 0.0000
Pr 0.5924 0.5924 0.1848
Nd 0.7275 0.7275 0.4549
Ac 0.5000 0.0000 0.0000
Ac 0.8507 0.6442 0.7014
```

Results
- Magnetic moment: 0.00 μB per atom
- Mass density: 7.2 Mg/m³
- ΔE to the lowest computed polymorph: 0.0378 eV per atom
- Total DFT energy (no corrections): -47.3 eV/cell

First-principles (GGA-PBE) data for an optimized crystal structure of AcPr4Nd7, as listed in the Alexandria database. Values from VASP.

Geometry as Quantum ESPRESSO input:
```
&SYSTEM
  ibrav = 0, nat = 12, ntyp = 3
/
ATOMIC_SPECIES
Nd 144.24 Nd.upf
Pr 140.91 Pr.upf
Ac 227.00 Ac.upf
CELL_PARAMETERS angstrom
6.2550 0.0000 0.0000
3.1275 8.5294 1.3112
3.1275 1.1353 8.5384
ATOMIC_POSITIONS crystal
Nd 0.9225 0.4393 0.7156
Nd 0.5000 0.0000 0.0000
Nd 0.2691 0.7125 0.7493
Nd 0.7902 0.8806 0.5389
Pr 0.3129 0.3650 0.0092
Nd 0.2098 0.1194 0.4611
Pr 0.5429 0.2854 0.6289
Nd 0.7309 0.2875 0.2507
Pr 0.6871 0.6350 0.9908
Pr 0.4571 0.7146 0.3711
Nd 0.0775 0.5607 0.2844
Ac 0.0000 0.0000 0.0000
```

Results
- Magnetic moment: 0.02 μB per atom
- Mass density: 6.7 Mg/m³
- ΔE to the lowest computed polymorph: 0.2151 eV per atom
- Total DFT energy (no corrections): -53.8 eV/cell

First-principles (GGA-PBE) data for an optimized crystal structure of AcPr2Nd4, as listed in the Alexandria database. Values from VASP.

Geometry as Quantum ESPRESSO input:
```
&SYSTEM
  ibrav = 0, nat = 7, ntyp = 3
/
ATOMIC_SPECIES
Nd 144.24 Nd.upf
Ac 227.00 Ac.upf
Pr 140.91 Pr.upf
CELL_PARAMETERS angstrom
-0.7567 3.6335 -0.5232
-1.2943 1.1869 -3.3113
-20.5711 -1.5803 5.3528
ATOMIC_POSITIONS crystal
Nd 0.8567 0.8567 0.4300
Ac 0.0000 0.0000 0.0000
Pr 0.4296 0.4296 0.7113
Nd 0.2841 0.2841 0.1476
Pr 0.5704 0.5704 0.2887
Nd 0.1433 0.1433 0.5700
Nd 0.7159 0.7159 0.8524
```

Results
- Magnetic moment: 0.00 μB per atom
- Mass density: 7.0 Mg/m³
- ΔE to the lowest computed polymorph: 0.0000 eV per atom
- Total DFT energy (no corrections): -32.6 eV/cell

First-principles (GGA-PBE) data for an optimized crystal structure of Ac2Pr3Nd8, as listed in the Alexandria database. Values from VASP.

Geometry as Quantum ESPRESSO input:
```
&SYSTEM
  ibrav = 0, nat = 13, ntyp = 3
/
ATOMIC_SPECIES
Nd 144.24 Nd.upf
Pr 140.91 Pr.upf
Ac 227.00 Ac.upf
CELL_PARAMETERS angstrom
6.2440 0.2966 1.3500
1.9804 8.7617 1.5546
0.8095 -0.7121 9.0523
ATOMIC_POSITIONS crystal
Nd 0.7748 0.4311 0.4311
Nd 0.6806 0.5740 0.0828
Nd 0.9607 0.1527 0.1527
Pr 0.5000 0.0000 0.0000
Nd 0.0393 0.8473 0.8473
Pr 0.0000 0.7566 0.2434
Nd 0.2252 0.5689 0.5689
Ac 0.3564 0.2975 0.2975
Ac 0.6436 0.7025 0.7025
Nd 0.6806 0.0828 0.5740
Pr 0.0000 0.2434 0.7566
Nd 0.3194 0.4260 0.9172
Nd 0.3194 0.9172 0.4260
```

Results
- Magnetic moment: 0.00 μB per atom
- Mass density: 6.9 Mg/m³
- ΔE to the lowest computed polymorph: 0.0000 eV per atom
- Total DFT energy (no corrections): -58.6 eV/cell

First-principles (GGA-PBE) data for an optimized crystal structure of Ac2Pr8Nd, as listed in the Alexandria database. Values from VASP.

Geometry as Quantum ESPRESSO input:
```
&SYSTEM
  ibrav = 0, nat = 11, ntyp = 3
/
ATOMIC_SPECIES
Pr 140.91 Pr.upf
Nd 144.24 Nd.upf
Ac 227.00 Ac.upf
CELL_PARAMETERS angstrom
-8.4350 -2.8116 -1.7211
-4.5400 -6.6491 -6.9141
-4.9830 -9.3649 -0.3061
ATOMIC_POSITIONS crystal
Pr 0.7799 0.6679 0.2145
Pr 0.2301 0.7217 0.7217
Pr 0.7342 0.6270 0.6270
Nd 0.0000 0.0000 0.0000
Pr 0.7799 0.2145 0.6679
Ac 0.3505 0.1700 0.1700
Pr 0.2658 0.3730 0.3730
Pr 0.2201 0.3321 0.7855
Ac 0.6495 0.8300 0.8300
Pr 0.7699 0.2783 0.2783
Pr 0.2201 0.7855 0.3321
```

Results
- Magnetic moment: 0.00 μB per atom
- Mass density: 6.8 Mg/m³
- ΔE to the lowest computed polymorph: 0.0126 eV per atom
- Total DFT energy (no corrections): -49.6 eV/cell

First-principles (GGA-PBE) data for an optimized crystal structure of AcPrNd, as listed in the Alexandria database. Values from VASP.

Geometry as Quantum ESPRESSO input:
```
&SYSTEM
  ibrav = 0, nat = 6, ntyp = 3
/
ATOMIC_SPECIES
Nd 144.24 Nd.upf
Pr 140.91 Pr.upf
Ac 227.00 Ac.upf
CELL_PARAMETERS angstrom
-2.6079 -0.9925 -2.4923
-1.2725 -4.6108 3.1678
-6.0357 6.2298 6.6429
ATOMIC_POSITIONS crystal
Nd 0.9584 0.7500 0.9169
Pr 0.2084 0.2500 0.4167
Ac 0.6188 0.7500 0.2375
Pr 0.7916 0.7500 0.5833
Nd 0.0416 0.2500 0.0831
Ac 0.3812 0.2500 0.7625
```

Results
- Magnetic moment: 0.00 μB per atom
- Mass density: 7.4 Mg/m³
- ΔE to the lowest computed polymorph: 0.0133 eV per atom
- Total DFT energy (no corrections): -27.1 eV/cell

First-principles (GGA-PBE) data for an optimized crystal structure of AcPr12Nd6, as listed in the Alexandria database. Values from VASP.

Geometry as Quantum ESPRESSO input:
```
&SYSTEM
  ibrav = 0, nat = 19, ntyp = 3
/
ATOMIC_SPECIES
Pr 140.91 Pr.upf
Nd 144.24 Nd.upf
Ac 227.00 Ac.upf
CELL_PARAMETERS angstrom
-6.2637 6.0370 -1.8093
-5.9438 -4.4801 4.8531
2.1715 4.6578 7.2486
ATOMIC_POSITIONS crystal
Pr 0.4632 0.5680 0.2213
Pr 0.9835 0.8032 0.6371
Nd 0.2621 0.0968 0.6942
Nd 0.9032 0.3058 0.7379
Pr 0.4320 0.7787 0.5368
Pr 0.5680 0.2213 0.4632
Nd 0.6942 0.2621 0.0968
Nd 0.0968 0.6942 0.2621
Ac 0.0000 0.0000 0.0000
Pr 0.0165 0.1968 0.3629
Pr 0.7787 0.5368 0.4320
Pr 0.3629 0.0165 0.1968
Nd 0.7379 0.9032 0.3058
Pr 0.2213 0.4632 0.5680
Pr 0.5368 0.4320 0.7787
Nd 0.3058 0.7379 0.9032
Pr 0.8032 0.6371 0.9835
Pr 0.1968 0.3629 0.0165
Pr 0.6371 0.9835 0.8032
```

Results
- Magnetic moment: 0.00 μB per atom
- Mass density: 6.6 Mg/m³
- ΔE to the lowest computed polymorph: 0.0000 eV per atom
- Total DFT energy (no corrections): -87.7 eV/cell

First-principles (GGA-PBE) data for an optimized crystal structure of AcPrNd14, as listed in the Alexandria database. Values from VASP.

Geometry as Quantum ESPRESSO input:
```
&SYSTEM
  ibrav = 0, nat = 16, ntyp = 3
/
ATOMIC_SPECIES
Nd 144.24 Nd.upf
Ac 227.00 Ac.upf
Pr 140.91 Pr.upf
CELL_PARAMETERS angstrom
-1.6089 -5.4342 4.8329
5.3316 4.9463 1.6076
-8.1757 7.1017 5.2636
ATOMIC_POSITIONS crystal
Nd 0.8336 0.1664 0.2504
Nd 0.8316 0.6654 0.7465
Ac 0.1660 0.8340 0.0000
Nd 0.6666 0.8340 0.5000
Nd 0.8316 0.6654 0.2535
Pr 0.6659 0.3341 0.0000
Nd 0.1682 0.3346 0.0000
Nd 0.6654 0.8318 0.0000
Nd 0.1667 0.8333 0.5000
Nd 0.3346 0.1684 0.7465
Nd 0.3346 0.1684 0.2535
Nd 0.1660 0.3334 0.5000
Nd 0.3342 0.6658 0.7471
Nd 0.3342 0.6658 0.2529
Nd 0.6671 0.3329 0.5000
Nd 0.8336 0.1664 0.7496
```

Results
- Magnetic moment: 0.00 μB per atom
- Mass density: 6.8 Mg/m³
- Total DFT energy (no corrections): -75.0 eV/cell

First-principles (GGA-PBE) data for an optimized crystal structure of Ac12PrNd7, as listed in the Alexandria database. Values from VASP.

Geometry as Quantum ESPRESSO input:
```
&SYSTEM
  ibrav = 0, nat = 20, ntyp = 3
/
ATOMIC_SPECIES
Ac 227.00 Ac.upf
Nd 144.24 Nd.upf
Pr 140.91 Pr.upf
CELL_PARAMETERS angstrom
10.0082 0.0000 -3.5384
-5.0041 8.6673 -3.5384
0.0000 0.0000 10.6153
ATOMIC_POSITIONS crystal
Ac 0.9262 0.7099 0.2163
Ac 0.4935 0.7099 0.7837
Ac 0.5065 0.2901 0.2163
Nd 0.0000 0.0000 0.5000
Ac 0.0738 0.2901 0.7837
Ac 0.7099 0.2163 0.9262
Nd 0.0000 0.5000 0.0000
Ac 0.2901 0.7837 0.0738
Nd 0.5000 0.5000 0.0000
Ac 0.2163 0.9262 0.7099
Ac 0.2163 0.5065 0.2901
Pr 0.0000 0.0000 0.0000
Ac 0.7837 0.4935 0.7099
Ac 0.7837 0.0738 0.2901
Nd 0.5000 0.5000 0.5000
Nd 0.5000 0.0000 0.0000
Nd 0.5000 0.0000 0.5000
Nd 0.0000 0.5000 0.5000
Ac 0.7099 0.7837 0.4935
Ac 0.2901 0.2163 0.5065
```

Results
- Magnetic moment: 0.00 μB per atom
- Mass density: 7.0 Mg/m³
- ΔE to the lowest computed polymorph: 0.4140 eV per atom
- Total DFT energy (no corrections): -75.3 eV/cell

First-principles (GGA-PBE) data for an optimized crystal structure of Ac6Pr2Nd, as listed in the Alexandria database. Values from VASP.

Geometry as Quantum ESPRESSO input:
```
&SYSTEM
  ibrav = 0, nat = 9, ntyp = 3
/
ATOMIC_SPECIES
Ac 227.00 Ac.upf
Pr 140.91 Pr.upf
Nd 144.24 Nd.upf
CELL_PARAMETERS angstrom
-0.2676 -3.8771 -0.4048
3.2380 1.5885 1.5030
-11.3864 -1.9959 26.6398
ATOMIC_POSITIONS crystal
Ac 0.3333 0.6667 0.5657
Pr 0.6667 0.3333 0.3293
Ac 0.6667 0.3333 0.1062
Ac 0.3333 0.6667 0.7795
Ac 0.6667 0.3333 0.8938
Pr 0.6667 0.3333 0.6707
Ac 0.3333 0.6667 0.4343
Ac 0.3333 0.6667 0.2205
Nd 0.3333 0.6667 0.0000
```

Results
- Magnetic moment: 0.00 μB per atom
- Mass density: 7.7 Mg/m³
- Total DFT energy (no corrections): -38.3 eV/cell

First-principles (GGA-PBE) data for an optimized crystal structure of Ac7Pr2Nd3, as listed in the Alexandria database. Values from VASP.

Geometry as Quantum ESPRESSO input:
```
&SYSTEM
  ibrav = 0, nat = 12, ntyp = 3
/
ATOMIC_SPECIES
Pr 140.91 Pr.upf
Ac 227.00 Ac.upf
Nd 144.24 Nd.upf
CELL_PARAMETERS angstrom
-0.3503 -3.6514 1.0063
1.1294 1.7371 6.6959
-17.4262 3.6755 7.2698
ATOMIC_POSITIONS crystal
Pr 0.5000 0.6091 0.3312
Ac 0.0000 0.4470 0.8318
Ac 0.5000 0.0533 0.1748
Nd 0.0000 0.1185 0.3415
Nd 0.5000 0.5000 0.0000
Ac 0.5000 0.9467 0.8252
Ac 0.5000 0.2406 0.5054
Ac 0.0000 0.5530 0.1682
Ac 0.5000 0.7594 0.4946
Pr 0.5000 0.3909 0.6688
Nd 0.0000 0.8815 0.6585
Ac 0.0000 0.0000 0.0000
```

Results
- Magnetic moment: 0.00 μB per atom
- Mass density: 7.7 Mg/m³
- Total DFT energy (no corrections): -51.5 eV/cell

First-principles (GGA-PBE) data for an optimized crystal structure of Ac4Pr2Nd, as listed in the Alexandria database. Values from VASP.

Geometry as Quantum ESPRESSO input:
```
&SYSTEM
  ibrav = 0, nat = 7, ntyp = 3
/
ATOMIC_SPECIES
Pr 140.91 Pr.upf
Nd 144.24 Nd.upf
Ac 227.00 Ac.upf
CELL_PARAMETERS angstrom
-4.1867 2.5246 4.1267
-6.5026 1.1226 -7.2840
1.9812 -5.6775 0.5239
ATOMIC_POSITIONS crystal
Pr 0.4343 0.2906 0.8685
Nd 0.0000 0.0000 0.0000
Ac 0.8610 0.5840 0.7220
Ac 0.7125 0.1372 0.4250
Pr 0.5657 0.7094 0.1315
Ac 0.2875 0.8628 0.5750
Ac 0.1390 0.4160 0.2780
```

Results
- Magnetic moment: 0.00 μB per atom
- Mass density: 7.7 Mg/m³
- ΔE to the lowest computed polymorph: 0.0000 eV per atom
- Total DFT energy (no corrections): -30.0 eV/cell